Na2CdSn2, optimized geometry, DFT GGA-PBE; excess energy over the best structure of this formula in the dataset = 33 meV/atom; energy of formation = -99.0 meV per atom
1.0
5.8111 -3.1883 0.0000
5.8111 3.1883 0.0000
-1.8056 0.0000 8.0107
Na Cd Sn
4 2 4
Cartesian
1.4202 0.8538 1.0657
0.5174 -0.8538 5.0710
9.2993 0.8538 2.9397
8.3965 -0.8538 6.9450
5.3597 0.9684 2.0027
4.4570 -0.9684 6.0080
3.2688 0.9433 4.0353
5.6452 0.9433 7.9808
4.1715 -0.9433 0.0299
6.5479 -0.9433 3.9754

***

Pd2RuS, optimized geometry, DFT GGA-PBE; formation energy (no corrections) = 274 meV per atom
1.0
-3.5601 3.5601 2.4462
3.5601 -3.5601 2.4462
3.5601 3.5601 -2.4462
Pd Ru S
4 2 2
Cartesian
5.3401 1.4395 -0.6115
1.4395 1.7800 0.6115
-1.7800 2.1205 1.8346
2.1205 1.7800 3.0577
3.5601 0.0000 1.2231
0.0000 0.0000 2.4462
0.0000 0.0000 0.0000
0.0000 3.5601 1.2231